# 1
CaTb2Zn2 after structural relaxation. Source: Alexandria, functional PBE-GGA.

```
data_CaTb2Zn2
_chemical_formula_sum 'Ca2 Tb4 Zn4'
_cell_length_a 3.6286
_cell_length_b 5.2565
_cell_length_c 13.5714
_cell_angle_alpha 90.00
_cell_angle_beta 97.70
_cell_angle_gamma 90.00
_space_group_name_H-M_alt 'P 1'
_space_group_IT_number 1
_space_group_name_Hall 'P 1'
loop_
_atom_site_label
_atom_site_fract_x
_atom_site_fract_y
_atom_site_fract_z
Ca1 0.1419 0.2500 0.2842
Ca2 0.8581 0.7500 0.7158
Tb1 0.0472 0.7500 0.0931
Tb2 0.2298 0.7500 0.4606
Tb3 0.7702 0.2500 0.5394
Tb4 0.9528 0.2500 0.9069
Zn1 0.3599 0.2500 0.7193
Zn2 0.4554 0.7500 0.9111
Zn3 0.5446 0.2500 0.0889
Zn4 0.6401 0.7500 0.2807
```

# 2
Ca2Tc after structural relaxation. Source: Alexandria, functional PBE-GGA.

```
data_Ca2Tc
_chemical_formula_sum 'Ca8 Tc4'
_cell_length_a 11.6619
_cell_length_b 3.7934
_cell_length_c 8.4402
_cell_angle_alpha 90.00
_cell_angle_beta 103.35
_cell_angle_gamma 90.00
_space_group_name_H-M_alt 'P 1'
_space_group_IT_number 1
_space_group_name_Hall 'P 1'
loop_
_atom_site_label
_atom_site_fract_x
_atom_site_fract_y
_atom_site_fract_z
Ca1 0.0000 0.0000 0.0000
Ca2 0.0705 0.0000 0.5018
Ca3 0.2123 0.5000 0.8344
Ca4 0.3140 0.0000 0.2615
Ca5 0.5000 0.5000 0.0000
Ca6 0.5705 0.5000 0.5018
Ca7 0.7123 0.0000 0.8344
Ca8 0.8140 0.5000 0.2615
Tc1 0.3150 0.5000 0.5466
Tc2 0.4002 0.0000 0.6901
Tc3 0.8150 0.0000 0.5466
Tc4 0.9002 0.5000 0.6901
```

The energy above the lowest structure with this stoichiometry comes out at 0.021 eV per atom.

Number 1: calculated total energy -0.110 hartree per atom, ΔH_f (0 K) -0.22 eV/atom. Number 2: calculated total energy -0.167 hartree per atom, ΔH_f (0 K) 0.26 eV/atom.